Version A
Below is Pr12Nd6Y after structural relaxation, with properties calculated at the GGA-PBE level.

a = 8.838 Å, b = 8.838 Å, c = 8.838 Å
α = 89.23°, β = 89.23°, γ = 89.23°
Fractional positions:
1 Pr 0.018 0.192 0.361
2 Pr 0.192 0.361 0.018
3 Pr 0.219 0.465 0.566
4 Pr 0.361 0.018 0.192
5 Pr 0.434 0.781 0.535
6 Pr 0.465 0.566 0.219
7 Pr 0.535 0.434 0.781
8 Pr 0.566 0.219 0.465
9 Pr 0.639 0.982 0.808
10 Pr 0.781 0.535 0.434
11 Pr 0.808 0.639 0.982
12 Pr 0.982 0.808 0.639
13 Nd 0.096 0.700 0.262
14 Nd 0.262 0.096 0.700
15 Nd 0.300 0.738 0.904
16 Nd 0.700 0.262 0.096
17 Nd 0.738 0.904 0.300
18 Nd 0.904 0.300 0.738
19 Y 0.000 0.000 0.000

Summary:
**Total magnetic moment**: 0.000 μB per formula unit
**Crystal system**: trigonal
**Fermi-level density of states**: 1.5926 states/eV/atom


Version B
Below is Pr12Nd6Y after structural relaxation, with properties calculated at the GGA-PBE level.

a = 10.039 Å, b = 10.039 Å, c = 10.039 Å
α = 111.97°, β = 111.97°, γ = 111.97°
Fractional positions:
1 Pr 0.000 0.380 0.620
2 Pr 0.000 0.620 0.380
3 Pr 0.226 0.226 0.587
4 Pr 0.226 0.587 0.226
5 Pr 0.380 0.000 0.620
6 Pr 0.380 0.620 0.000
7 Pr 0.413 0.774 0.774
8 Pr 0.587 0.226 0.226
9 Pr 0.620 0.000 0.380
10 Pr 0.620 0.380 0.000
11 Pr 0.774 0.413 0.774
12 Pr 0.774 0.774 0.413
13 Nd 0.021 0.771 0.771
14 Nd 0.229 0.229 0.979
15 Nd 0.229 0.979 0.229
16 Nd 0.771 0.021 0.771
17 Nd 0.771 0.771 0.021
18 Nd 0.979 0.229 0.229
19 Y 0.500 0.500 0.500

Summary:
**Total magnetic moment**: 0.052 μB per formula unit
**Crystal system**: trigonal
**Fermi-level density of states**: 1.7004 states/eV/atom


Stability, highest: version A


Version A
Below is Pr3Nd2Y5 after structural relaxation, with properties calculated at the GGA-PBE level.

a = 11.127 Å, b = 11.127 Å, c = 11.127 Å
α = 112.84°, β = 77.49°, γ = 145.95°
Fractional positions:
1 Pr 0.169 0.242 0.410
2 Pr 0.250 0.250 0.000
3 Pr 0.331 0.742 0.073
4 Pr 0.669 0.258 0.927
5 Pr 0.750 0.750 0.000
6 Pr 0.831 0.758 0.590
7 Nd 0.168 0.586 0.754
8 Nd 0.332 0.086 0.418
9 Nd 0.668 0.914 0.582
10 Nd 0.832 0.414 0.246
11 Y 0.167 0.907 0.074
12 Y 0.250 0.503 0.253
13 Y 0.250 0.750 0.500
14 Y 0.250 0.997 0.747
15 Y 0.333 0.407 0.740
16 Y 0.667 0.593 0.260
17 Y 0.750 0.003 0.253
18 Y 0.750 0.250 0.500
19 Y 0.750 0.497 0.747
20 Y 0.833 0.093 0.926

Summary:
**Total magnetic moment**: 0.000 μB per formula unit
**Crystal system**: orthorhombic
**Fermi-level density of states**: 1.6341 states/eV/atom


Version B
Below is Pr3Nd2Y5 after structural relaxation, with properties calculated at the GGA-PBE level.

a = 9.979 Å, b = 9.979 Å, c = 9.302 Å
α = 108.28°, β = 108.28°, γ = 114.50°
Fractional positions:
1 Pr 0.024 0.273 0.047
2 Pr 0.228 0.772 0.750
3 Pr 0.273 0.024 0.547
4 Pr 0.727 0.976 0.453
5 Pr 0.772 0.228 0.250
6 Pr 0.976 0.727 0.953
7 Nd 0.233 0.476 0.459
8 Nd 0.476 0.233 0.959
9 Nd 0.524 0.767 0.041
10 Nd 0.767 0.524 0.541
11 Y 0.026 0.974 0.750
12 Y 0.132 0.368 0.754
13 Y 0.274 0.726 0.250
14 Y 0.368 0.132 0.254
15 Y 0.472 0.528 0.250
16 Y 0.528 0.472 0.750
17 Y 0.632 0.868 0.746
18 Y 0.726 0.274 0.750
19 Y 0.868 0.632 0.246
20 Y 0.974 0.026 0.250

Summary:
**Total magnetic moment**: 0.000 μB per formula unit
**Crystal system**: monoclinic
**Fermi-level density of states**: 1.6136 states/eV/atom


Stability, highest: version B


Version A
Below is PrNd2Y7 after structural relaxation, with properties calculated at the GGA-PBE level.

a = 9.320 Å, b = 9.320 Å, c = 5.568 Å
α = 90.00°, β = 90.00°, γ = 123.92°
Fractional positions:
1 Pr 0.000 0.000 0.000
2 Nd 0.298 0.702 0.500
3 Nd 0.702 0.298 0.500
4 Y 0.064 0.292 0.500
5 Y 0.217 0.783 0.000
6 Y 0.292 0.064 0.500
7 Y 0.500 0.500 0.500
8 Y 0.708 0.936 0.500
9 Y 0.783 0.217 0.000
10 Y 0.936 0.708 0.500

Summary:
**Total magnetic moment**: 0.000 μB per formula unit
**Crystal system**: orthorhombic
**Fermi-level density of states**: 1.4797 states/eV/atom


Version B
Below is PrNd2Y7 after structural relaxation, with properties calculated at the GGA-PBE level.

a = 8.568 Å, b = 8.568 Å, c = 8.568 Å
α = 141.71°, β = 97.28°, γ = 95.07°
Fractional positions:
1 Pr 0.000 0.000 0.000
2 Nd 0.158 0.658 0.500
3 Nd 0.842 0.342 0.500
4 Y 0.103 0.850 0.253
5 Y 0.336 0.336 0.000
6 Y 0.403 0.150 0.253
7 Y 0.500 0.000 0.500
8 Y 0.597 0.850 0.747
9 Y 0.664 0.664 0.000
10 Y 0.897 0.150 0.747

Summary:
**Total magnetic moment**: 0.000 μB per formula unit
**Crystal system**: orthorhombic
**Fermi-level density of states**: 1.6197 states/eV/atom


Stability, highest: version B


Version A
Below is PrNd3Y3 after structural relaxation, with properties calculated at the GGA-PBE level.

a = 9.005 Å, b = 9.005 Å, c = 9.005 Å
α = 58.64°, β = 58.64°, γ = 58.64°
Fractional positions:
1 Pr 0.155 0.155 0.155
2 Pr 0.845 0.845 0.845
3 Nd 0.068 0.570 0.219
4 Nd 0.219 0.068 0.570
5 Nd 0.430 0.781 0.932
6 Nd 0.570 0.219 0.068
7 Nd 0.781 0.932 0.430
8 Nd 0.932 0.430 0.781
9 Y 0.214 0.672 0.438
10 Y 0.328 0.562 0.786
11 Y 0.438 0.214 0.672
12 Y 0.562 0.786 0.328
13 Y 0.672 0.438 0.214
14 Y 0.786 0.328 0.562

Summary:
**Total magnetic moment**: 0.000 μB per formula unit
**Crystal system**: trigonal
**Fermi-level density of states**: 1.5714 states/eV/atom


Version B
Below is PrNd3Y3 after structural relaxation, with properties calculated at the GGA-PBE level.

a = 6.666 Å, b = 6.666 Å, c = 6.666 Å
α = 107.72°, β = 107.72°, γ = 107.72°
Fractional positions:
1 Pr 0.000 0.000 0.000
2 Nd 0.529 0.968 0.968
3 Nd 0.968 0.529 0.968
4 Nd 0.968 0.968 0.529
5 Y 0.111 0.479 0.479
6 Y 0.479 0.111 0.479
7 Y 0.479 0.479 0.111

Summary:
**Total magnetic moment**: 0.000 μB per formula unit
**Crystal system**: trigonal
**Fermi-level density of states**: 1.4362 states/eV/atom


Stability, highest: version A


Version A
Below is Pr3Nd8Y3 after structural relaxation, with properties calculated at the GGA-PBE level.

a = 9.918 Å, b = 9.918 Å, c = 9.918 Å
α = 145.97°, β = 112.44°, γ = 77.85°
Fractional positions:
1 Pr 0.000 0.000 0.000
2 Pr 0.181 0.681 0.500
3 Pr 0.819 0.319 0.500
4 Nd 0.119 0.278 0.840
5 Nd 0.235 0.897 0.338
6 Nd 0.438 0.278 0.160
7 Nd 0.441 0.103 0.338
8 Nd 0.559 0.897 0.662
9 Nd 0.562 0.722 0.840
10 Nd 0.765 0.103 0.662
11 Nd 0.881 0.722 0.160
12 Y 0.199 0.500 0.699
13 Y 0.500 0.500 0.000
14 Y 0.801 0.500 0.301

Summary:
**Total magnetic moment**: 0.000 μB per formula unit
**Crystal system**: orthorhombic
**Fermi-level density of states**: 1.4766 states/eV/atom


Version B
Below is Pr3Nd8Y3 after structural relaxation, with properties calculated at the GGA-PBE level.

a = 9.936 Å, b = 9.936 Å, c = 9.936 Å
α = 146.35°, β = 112.80°, γ = 77.30°
Fractional positions:
1 Pr 0.000 0.000 0.000
2 Pr 0.307 0.000 0.307
3 Pr 0.693 0.000 0.693
4 Nd 0.059 0.396 0.663
5 Nd 0.067 0.225 0.842
6 Nd 0.267 0.604 0.663
7 Nd 0.382 0.225 0.158
8 Nd 0.618 0.775 0.842
9 Nd 0.733 0.396 0.337
10 Nd 0.933 0.775 0.158
11 Nd 0.941 0.604 0.337
12 Y 0.317 0.817 0.500
13 Y 0.500 0.500 0.000
14 Y 0.683 0.183 0.500

Summary:
**Total magnetic moment**: 0.000 μB per formula unit
**Crystal system**: orthorhombic
**Fermi-level density of states**: 1.2709 states/eV/atom


Stability, highest: version A